This record from the Alexandria database describes Cs4RbAu4 after structural relaxation. The functional is GGA-PBE.

Cell: 7.333 8.953 8.937 Å, 80.23 65.78 65.82°
Fractional positions:
1 Au 0.101 0.611 0.188
2 Au 0.289 0.812 0.611
3 Au 0.899 0.389 0.812
4 Au 0.711 0.188 0.389
5 Cs 0.600 0.591 0.210
6 Cs 0.400 0.409 0.790
7 Cs 0.810 0.790 0.590
8 Cs 0.190 0.210 0.410
9 Rb 0.000 0.000 0.000

Results
The calculation puts the energy above the most stable polymorph in this dataset at 0.000 eV per atom. The calculation puts the formation energy at -0.2756 eV/atom. The space-group type is C2/m, No. 12.

This record from the Alexandria database describes LiHfMg6 after structural relaxation. The functional is GGA-PBE.

Cell: 6.367 6.367 5.044 Å, 90.00 90.00 120.01°
Fractional positions:
1 Mg 0.916 0.084 0.500
2 Mg 0.916 0.583 0.500
3 Mg 0.090 0.420 0.000
4 Mg 0.580 0.910 0.000
5 Mg 0.580 0.420 0.000
6 Mg 0.417 0.084 0.500
7 Li 0.084 0.916 0.000
8 Hf 0.417 0.583 0.500

Results
The calculation puts the formation energy at 0.0677 eV/atom. The space-group type is P-6m2, No. 187.

This record from the Alexandria database describes Zr2AgSb after structural relaxation. The functional is GGA-PBE.

Cell: 3.817 3.817 6.086 Å, 90.00 90.00 90.00°
Fractional positions:
1 Sb 0.500 0.500 0.763
2 Zr 0.500 0.500 0.263
3 Zr 0.000 0.000 0.987
4 Ag 0.000 0.000 0.487

Results
The formation energy without anion corrections comes out at -282 meV per atom. The space-group type is P4mm, No. 99.

This record from the Alexandria database describes SiSbH3 after structural relaxation. The functional is GGA-PBE.

Cell: 3.978 3.978 3.978 Å, 90.00 90.00 90.00°
Fractional positions:
1 H 0.500 0.000 0.000
2 H 0.000 0.500 0.000
3 H 0.000 0.000 0.500
4 Si 0.500 0.500 0.500
5 Sb 0.000 0.000 0.000

Results
The calculation puts the energy above the most stable polymorph in this dataset at 0.284 eV per atom. The space-group type is Pm-3m, No. 221.

This record from the Alexandria database describes AlInPd6 after structural relaxation. The functional is GGA-PBE.

Cell: 3.979 3.979 7.931 Å, 90.00 90.00 90.00°
Fractional positions:
1 Al 0.000 0.000 0.500
2 Pd 0.500 0.500 0.000
3 Pd 0.500 0.500 0.500
4 Pd 0.000 0.500 0.738
5 Pd 0.000 0.500 0.262
6 Pd 0.500 0.000 0.738
7 Pd 0.500 0.000 0.262
8 In 0.000 0.000 0.000

Results
The calculation puts the formation energy at -0.5150 eV/atom. The space-group type is P4/mmm, No. 123.

This record from the Alexandria database describes Cr2PbCl after structural relaxation. The functional is GGA-PBE.

Cell: 3.362 3.746 7.145 Å, 89.93 90.00 90.00°
Site moments in Bohr magnetons follow the coordinates.
Fractional positions:
1 Cl 0.500 0.750 0.750  -0.01
2 Cr 0.000 0.749 0.471  3.79
3 Cr 0.000 0.751 0.029  3.79
4 Pb 0.500 0.250 0.250  -0.16

Results
The calculation puts the energy above the most stable polymorph in this dataset at 0.208 eV per atom. The formation energy without anion corrections comes out at 274 meV per atom. The space-group type is P2/m, No. 10.

This record from the Alexandria database describes LaTe2Os after structural relaxation. The functional is GGA-PBE.

Cell: 5.140 5.140 5.140 Å, 60.00 60.00 60.00°
Fractional positions:
1 Te 0.250 0.250 0.250
2 Te 0.750 0.750 0.750
3 La 0.000 0.000 0.000
4 Os 0.500 0.500 0.500

Results
The calculation puts the energy above the most stable polymorph in this dataset at 0.469 eV per atom. The formation energy without anion corrections comes out at 36 meV per atom. The space-group type is Fm-3m, No. 225.

This record from the Alexandria database describes TbNdAlRu after structural relaxation. The functional is GGA-PBE.

Cell: 5.054 5.054 5.054 Å, 60.00 60.00 60.00°
Fractional positions:
1 Tb 0.500 0.500 0.500
2 Nd 0.000 0.000 0.000
3 Al 0.750 0.750 0.750
4 Ru 0.250 0.250 0.250

Results
The calculation puts the formation energy at -0.2487 eV/atom. The space-group type is F-43m, No. 216.

Results for calculated total energy: -2.219; -2.612; -6.300; -2.977; -5.220; -5.927; -5.574; -5.853 (in eV/atom, following the order of the records).